Record 1
Computed, not measured: a relaxed structure of Os2PtBr at the PBE level of DFT.

Cell lengths 2.812, 2.812, 9.600 Å; angles 90.00, 90.00, 121.10 degrees
Fractional coordinates of all 4 atoms:
Os1 0.000 0.000 0.243
Os2 0.000 0.000 0.757
Pt1 0.500 0.500 0.000
Br1 0.500 0.500 0.500

Its space-group type is Cmmm. Its density is 16.75 Mg/m³. The value obtained for the energy is -0.237 Ha/atom.

Record 2
Computed, not measured: a relaxed structure of OsPtBr2 at the PBE level of DFT.

Cell lengths 3.083, 3.083, 7.620 Å; angles 90.00, 90.00, 90.00 degrees
Fractional coordinates of all 4 atoms:
Os1 0.000 0.000 0.000
Pt1 0.000 0.000 0.500
Br1 0.500 0.500 0.222
Br2 0.500 0.500 0.778

Its space-group type is P4/mmm. Its density is 12.50 Mg/m³. The value obtained for the energy is -0.141 Ha/atom.

Record 3
Computed, not measured: a relaxed structure of OsPtBr2 at the PBE level of DFT.

Cell lengths 11.789, 11.789, 11.789 Å; angles 13.97, 13.97, 13.97 degrees
Fractional coordinates of all 4 atoms:
Os1 0.000 0.000 0.000
Pt1 0.500 0.500 0.500
Br1 0.068 0.068 0.068
Br2 0.932 0.932 0.932

Its space-group type is R-3m. Its density is 10.89 Mg/m³. The value obtained for the energy is -0.158 Ha/atom.

Record 4
Computed, not measured: a relaxed structure of Os2PtBr at the PBE level of DFT.

Cell lengths 4.697, 4.697, 2.874 Å; angles 90.00, 90.00, 90.00 degrees
Fractional coordinates of all 4 atoms:
Os1 0.000 0.500 0.000
Os2 0.500 0.000 0.000
Pt1 0.000 0.000 0.500
Br1 0.500 0.500 0.500

Its space-group type is P4/mmm. Its density is 17.16 Mg/m³. The value obtained for the energy is -0.230 Ha/atom.

Record 5
Computed, not measured: a relaxed structure of OsPtBr2 at the PBE level of DFT.

Cell lengths 3.124, 3.641, 6.265 Å; angles 90.00, 90.00, 90.00 degrees
Fractional coordinates of all 4 atoms:
Os1 0.000 0.000 0.000
Pt1 0.000 0.000 0.500
Br1 0.500 0.500 0.237
Br2 0.500 0.500 0.763

Its space-group type is Pmmm. Its density is 12.70 Mg/m³. The value obtained for the energy is -0.139 Ha/atom.

Record 6
Computed, not measured: a relaxed structure of OsPtBr2 at the PBE level of DFT.

Cell lengths 7.463, 7.463, 7.463 Å; angles 156.95, 143.76, 43.39 degrees
Fractional coordinates of all 4 atoms:
Os1 0.000 0.000 0.000
Pt1 0.500 0.500 0.000
Br1 0.149 0.649 0.500
Br2 0.851 0.351 0.500

Its space-group type is Immm. Its density is 9.43 Mg/m³. The value obtained for the energy is -0.166 Ha/atom.

Number 1: raw formation energy 1096 meV per atom, energy relative to the lowest polymorph listed for this composition 11.914 kcal/mol of atoms. Number 2: raw formation energy 1331 meV per atom, energy relative to the lowest polymorph listed for this composition 22.373 kcal/mol of atoms. Number 3: raw formation energy 841 meV per atom, energy relative to the lowest polymorph listed for this composition 11.085 kcal/mol of atoms. Number 4: raw formation energy 1279 meV per atom, energy relative to the lowest polymorph listed for this composition 16.145 kcal/mol of atoms. Number 5: raw formation energy 1370 meV per atom, energy relative to the lowest polymorph listed for this composition 23.276 kcal/mol of atoms. Number 6: raw formation energy 630 meV per atom, energy relative to the lowest polymorph listed for this composition 6.219 kcal/mol of atoms.